Below is an optimized crystal structure of ZrCr2Pd, with properties calculated at the PBE level.

As for the crystal system: tetragonal. The total energy comes out at -8.310 eV/atom.

It has space group P4mm (No. 99), with a = 3.0103 Å, b = 3.0103 Å, c = 6.8843 Å, α = 90.00°, β = 90.00° and γ = 90.00°. The asymmetric unit holds Zr at (0.0000, 0.0000, 0.0000), Cr at (0.0000, 0.0000, 0.5490), Cr at (0.5000, 0.5000, 0.7271) and Pd at (0.5000, 0.5000, 0.2957).

Below is an optimized crystal structure of ZrCr2Pd, with properties calculated at the PBE level.

As for the crystal system: triclinic. The total energy comes out at -8.215 eV/atom.

It has space group P1 (No. 1), with a = 5.0129 Å, b = 5.0945 Å, c = 5.5579 Å, α = 93.07°, β = 91.24° and γ = 116.61°. The asymmetric unit holds Zr at (0.0000, 0.0000, 0.0000), Zr at (0.3226, 0.6806, 0.7439), Cr at (0.0217, 0.5209, 0.2352), Cr at (0.4914, 0.5268, 0.1908), Cr at (0.5461, 0.0004, 0.3007), Cr at (0.7676, 0.6054, 0.5054), Pd at (0.1438, 0.1430, 0.5107) and Pd at (0.6540, 0.2854, 0.8414).

Below is an optimized crystal structure of ZrCr2Pd, with properties calculated at the PBE level.

As for the crystal system: trigonal. The total energy comes out at -8.248 eV/atom.

It has space group R3m (No. 160, hexagonal axes), with a = 4.8182 Å, b = 4.8182 Å, c = 18.7266 Å, α = 90.00°, β = 90.00° and γ = 120.00°. The asymmetric unit holds Zr at (0.0000, 0.0000, 0.0000), Zr at (0.0000, 0.0000, 0.4268), Cr at (0.0000, 0.0000, 0.7149), Cr at (0.0063, 0.5031, 0.5040), Pd at (0.0000, 0.0000, 0.2889) and Pd at (0.0000, 0.0000, 0.5771).

Below is an optimized crystal structure of ZrCr2Pd, with properties calculated at the PBE level.

As for the crystal system: orthorhombic. The total energy comes out at -8.255 eV/atom.

It has space group Imm2 (No. 44), with a = 4.1544 Å, b = 4.1846 Å, c = 7.5684 Å, α = 90.00°, β = 90.00° and γ = 90.00°. The asymmetric unit holds Zr at (0.0000, 0.0000, 0.0000), Cr at (0.0000, 0.0000, 0.4987), Cr at (0.0000, 0.5000, 0.7506) and Pd at (0.0000, 0.5000, 0.2494).

Below is an optimized crystal structure of ZrCr2Pd, with properties calculated at the PBE level.

As for the crystal system: monoclinic. The total energy comes out at -8.171 eV/atom.

It has space group Cm (No. 8), with a = 8.8413 Å, b = 5.1624 Å, c = 6.4760 Å, α = 90.00°, β = 117.78° and γ = 90.00°. The asymmetric unit holds Zr at (0.0000, 0.0000, 0.0000), Zr at (0.0605, 0.5000, 0.7059), Cr at (0.0865, 0.5000, 0.2613), Cr at (0.1496, 0.0000, 0.4715), Cr at (0.2880, 0.0000, 0.8290), Cr at (0.3231, 0.5000, 0.5712) and Pd at (0.3263, 0.2500, 0.2226).

Below is an optimized crystal structure of ZrCrPd2, with properties calculated at the PBE level.

As for the crystal system: cubic. The total energy comes out at -7.454 eV/atom.

It has space group Fm-3m (No. 225), with a = 6.4989 Å, b = 6.4989 Å, c = 6.4989 Å, α = 90.00°, β = 90.00° and γ = 90.00°. The asymmetric unit holds Zr at (0.0000, 0.0000, 0.0000), Cr at (0.0000, 0.0000, 0.5000) and Pd at (0.2500, 0.2500, 0.2500).

Below is an optimized crystal structure of Zr2CrPd2, with properties calculated at the PBE level.

As for the crystal system: tetragonal. The total energy comes out at -7.720 eV/atom.

It has space group P4/mbm (No. 127), with a = 7.5179 Å, b = 7.5179 Å, c = 3.3593 Å, α = 90.00°, β = 90.00° and γ = 90.00°. The asymmetric unit holds Zr at (0.1734, 0.3266, 0.0000), Cr at (0.0000, 0.0000, 0.5000) and Pd at (0.1295, 0.6295, 0.5000).

Below is an optimized crystal structure of ZrCr2Pd, with properties calculated at the PBE level.

As for the crystal system: triclinic. The total energy comes out at -8.230 eV/atom.

It has space group P1 (No. 1), with a = 5.0740 Å, b = 5.1472 Å, c = 6.1311 Å, α = 94.68°, β = 106.94° and γ = 119.03°. The asymmetric unit holds Zr at (0.0000, 0.0000, 0.0000), Zr at (0.2527, 0.8327, 0.5468), Cr at (0.3726, 0.4121, 0.7667), Cr at (0.5547, 0.4908, 0.4903), Cr at (0.8627, 0.4075, 0.7571), Cr at (0.8998, 0.1373, 0.4971), Pd at (0.4034, 0.7318, 0.1242) and Pd at (0.7396, 0.3603, 0.1365).

Below is an optimized crystal structure of ZrCr2Pd, with properties calculated at the PBE level.

As for the crystal system: monoclinic. The total energy comes out at -8.246 eV/atom.

It has space group Cm (No. 8), with a = 9.3950 Å, b = 3.9241 Å, c = 7.3638 Å, α = 90.00°, β = 105.02° and γ = 90.00°. The asymmetric unit holds Zr at (0.0000, 0.0000, 0.0000), Zr at (0.1564, 0.5000, 0.7136), Cr at (0.1714, 0.0000, 0.4070), Cr at (0.3643, 0.0000, 0.6711), Cr at (0.4096, 0.5000, 0.5232), Cr at (0.4624, 0.0000, 0.3383), Pd at (0.2125, 0.5000, 0.1883) and Pd at (0.2909, 0.0000, 0.9818).

Below is an optimized crystal structure of ZrCrPd2, with properties calculated at the PBE level.

As for the crystal system: tetragonal. The total energy comes out at -7.504 eV/atom.

It has space group P4/mmm (No. 123), with a = 4.1094 Å, b = 4.1094 Å, c = 3.9285 Å, α = 90.00°, β = 90.00° and γ = 90.00°. The asymmetric unit holds Zr at (0.0000, 0.0000, 0.0000), Cr at (0.5000, 0.5000, 0.0000) and Pd at (0.0000, 0.5000, 0.5000).

Below is an optimized crystal structure of ZrCr2Pd, with properties calculated at the PBE level.

As for the crystal system: orthorhombic. The total energy comes out at -8.248 eV/atom.

It has space group Pmm2 (No. 25), with a = 4.1532 Å, b = 4.8506 Å, c = 6.4117 Å, α = 90.00°, β = 90.00° and γ = 90.00°. The asymmetric unit holds Zr at (0.0000, 0.0000, 0.0000), Zr at (0.0000, 0.5000, 0.3489), Cr at (0.0000, 0.0000, 0.5257), Cr at (0.5000, 0.0000, 0.3098), Cr at (0.5000, 0.2073, 0.7005), Pd at (0.0000, 0.5000, 0.7806) and Pd at (0.5000, 0.5000, 0.0653).

Below is an optimized crystal structure of ZrCr2Pd2, with properties calculated at the PBE level.

As for the crystal system: tetragonal. The total energy comes out at -7.596 eV/atom.

It has space group I4/mmm (No. 139), with a = 3.3954 Å, b = 3.3954 Å, c = 13.8637 Å, α = 90.00°, β = 90.00° and γ = 90.00°. The asymmetric unit holds Zr at (0.0000, 0.0000, 0.0000), Cr at (0.0000, 0.5000, 0.2500) and Pd at (0.0000, 0.0000, 0.4001).

Below is an optimized crystal structure of ZrCr2Pd, with properties calculated at the PBE level.

As for the crystal system: trigonal. The total energy comes out at -8.257 eV/atom.

It has space group P3m1 (No. 156), with a = 4.9517 Å, b = 4.9517 Å, c = 5.9384 Å, α = 90.00°, β = 90.00° and γ = 120.00°. The asymmetric unit holds Zr at (0.0000, 0.0000, 0.0000), Zr at (0.3333, 0.6667, 0.2291), Cr at (0.3048, 0.1524, 0.5172), Cr at (0.6667, 0.3333, 0.2651), Pd at (0.3333, 0.6667, 0.7373) and Pd at (0.6667, 0.3333, 0.8645).

Below is an optimized crystal structure of ZrCr2Pd2, with properties calculated at the PBE level.

As for the crystal system: tetragonal. The total energy comes out at -7.599 eV/atom.

It has space group P4/mbm (No. 127), with a = 7.5182 Å, b = 7.5182 Å, c = 2.7744 Å, α = 90.00°, β = 90.00° and γ = 90.00°. The asymmetric unit holds Zr at (0.0000, 0.0000, 0.0000), Cr at (0.0903, 0.4097, 0.0000) and Pd at (0.1984, 0.6984, 0.5000).

Below is an optimized crystal structure of ZrCrPd2, with properties calculated at the PBE level.

As for the crystal system: tetragonal. The total energy comes out at -6.918 eV/atom.

It has space group I-42d (No. 122), with a = 3.8891 Å, b = 3.8891 Å, c = 18.2551 Å, α = 90.00°, β = 90.00° and γ = 90.00°. The asymmetric unit holds Zr at (0.0000, 0.0000, 0.0000), Cr at (0.0000, 0.0000, 0.5000) and Pd at (0.2357, 0.2500, 0.6250).

Below is an optimized crystal structure of ZrCr2Pd, with properties calculated at the PBE level.

As for the crystal system: cubic. The total energy comes out at -7.968 eV/atom.

It has space group Fm-3m (No. 225), with a = 6.3031 Å, b = 6.3031 Å, c = 6.3031 Å, α = 90.00°, β = 90.00° and γ = 90.00°. The asymmetric unit holds Zr at (0.0000, 0.0000, 0.0000), Cr at (0.2500, 0.2500, 0.2500) and Pd at (0.0000, 0.0000, 0.5000).

Below is an optimized crystal structure of Pm4Cr, with properties calculated at the PBE level.

As for the crystal system: cubic. The total energy comes out at -5.301 eV/atom.

It has space group Pm-3m (No. 221), with a = 5.4137 Å, b = 5.4137 Å, c = 5.4137 Å, α = 90.00°, β = 90.00° and γ = 90.00°. The asymmetric unit holds Pm at (0.0000, 0.0000, 0.0000), Pm at (0.0000, 0.5000, 0.5000) and Cr at (0.5000, 0.5000, 0.5000).

Below is an optimized crystal structure of Pm3Cr, with properties calculated at the PBE level.

As for the crystal system: tetragonal. The total energy comes out at -5.616 eV/atom.

It has space group I4/mmm (No. 139), with a = 4.8261 Å, b = 4.8261 Å, c = 10.0308 Å, α = 90.00°, β = 90.00° and γ = 90.00°. The asymmetric unit holds Pm at (0.0000, 0.0000, 0.0000), Pm at (0.0000, 0.5000, 0.2500) and Cr at (0.0000, 0.0000, 0.5000).

Below is an optimized crystal structure of Pm2CrSi4Pt3, with properties calculated at the PBE level.

As for the crystal system: tetragonal. The total energy comes out at -6.868 eV/atom.

It has space group P-4m2 (No. 115), with a = 4.1761 Å, b = 4.1761 Å, c = 10.1438 Å, α = 90.00°, β = 90.00° and γ = 90.00°. The asymmetric unit holds Pm at (0.0000, 0.5000, 0.2464), Cr at (0.0000, 0.0000, 0.5000), Si at (0.0000, 0.0000, 0.0000), Si at (0.0000, 0.5000, 0.6337), Si at (0.5000, 0.5000, 0.0000), Pt at (0.0000, 0.5000, 0.8766) and Pt at (0.5000, 0.5000, 0.5000).

Below is an optimized crystal structure of Rb4Pm3CrS8, with properties calculated at the PBE level.

As for the crystal system: trigonal. The total energy comes out at -5.329 eV/atom.

It has space group R-3m (No. 166, hexagonal axes), with a = 8.1534 Å, b = 8.1534 Å, c = 23.0362 Å, α = 90.00°, β = 90.00° and γ = 120.00°. The asymmetric unit holds Rb at (0.0000, 0.0000, 0.0000), Rb at (0.0000, 0.5000, 0.0000), Pm at (0.0000, 0.5000, 0.5000), Cr at (0.0000, 0.0000, 0.5000), S at (0.0000, 0.0000, 0.2334) and S at (0.0280, 0.5140, 0.2286).

Below is an optimized crystal structure of Rb2Pm2CrS6, with properties calculated at the PBE level.

As for the crystal system: monoclinic. The total energy comes out at -5.532 eV/atom.

It has space group C2/m (No. 12), with a = 6.8850 Å, b = 11.6432 Å, c = 8.2143 Å, α = 90.00°, β = 106.81° and γ = 90.00°. The asymmetric unit holds Rb at (0.0000, 0.1729, 0.0000), Pm at (0.0000, 0.3326, 0.5000), Cr at (0.0000, 0.0000, 0.5000), S at (0.2129, 0.1474, 0.6842) and S at (0.2267, 0.0000, 0.3198).

Below is an optimized crystal structure of PmCrRe, with properties calculated at the PBE level.

As for the crystal system: orthorhombic. The total energy comes out at -8.755 eV/atom.

It has space group Imma (No. 74), with a = 5.3224 Å, b = 5.4773 Å, c = 7.5947 Å, α = 90.00°, β = 90.00° and γ = 90.00°. The asymmetric unit holds Pm at (0.0000, 0.2500, 0.1248), Cr at (0.0000, 0.0000, 0.5000) and Re at (0.2500, 0.2500, 0.7500).

Below is an optimized crystal structure of Pm2CrRe3, with properties calculated at the PBE level.

As for the crystal system: trigonal. The total energy comes out at -9.365 eV/atom.

It has space group R-3m (No. 166, hexagonal axes), with a = 5.3515 Å, b = 5.3515 Å, c = 14.0035 Å, α = 90.00°, β = 90.00° and γ = 120.00°. The asymmetric unit holds Pm at (0.0000, 0.0000, 0.1243), Cr at (0.0000, 0.0000, 0.5000) and Re at (0.0000, 0.5000, 0.0000).

Below is an optimized crystal structure of PmCrRh2, with properties calculated at the PBE level.

As for the crystal system: tetragonal. The total energy comes out at -7.479 eV/atom.

It has space group P4/mmm (No. 123), with a = 4.4755 Å, b = 4.4755 Å, c = 3.5696 Å, α = 90.00°, β = 90.00° and γ = 90.00°. The asymmetric unit holds Pm at (0.0000, 0.0000, 0.0000), Cr at (0.5000, 0.5000, 0.0000) and Rh at (0.0000, 0.5000, 0.5000).